Below is LaSmGe2Os2 after structural relaxation, with properties calculated at the PBE level.

- symmetry = P4mm (99)
- final energy (eV for the cell shown) = -44.24
- crystal system = tetragonal

CIF file:
```
data_LaSmGe2Os2
_chemical_formula_sum 'La1 Sm1 Ge2 Os2'
_cell_length_a 4.310
_cell_length_b 4.310
_cell_length_c 6.977
_cell_angle_alpha 90.00
_cell_angle_beta 90.00
_cell_angle_gamma 90.00
_symmetry_space_group_name_H-M 'P 1'
_symmetry_Int_Tables_number 1
loop_
_symmetry_equiv_pos_as_xyz
'x,y,z'
loop_
_atom_site_label
_atom_site_type_symbol
_atom_site_fract_x
_atom_site_fract_y
_atom_site_fract_z
Sm1 Sm 0.500 0.500 0.192
Os1 Os 0.000 0.500 0.497
Ge1 Ge 0.000 0.000 0.304
Ge2 Ge 0.500 0.500 0.691
La1 La 0.000 0.000 0.818
Os2 Os 0.500 0.000 0.497
```

***

Below is La2GePPd2 after structural relaxation, with properties calculated at the PBE level.

- symmetry = P-6m2 (187)
- final energy (eV for the cell shown) = -36.99
- crystal system = hexagonal

CIF file:
```
data_La2GePPd2
_chemical_formula_sum 'La2 Ge1 P1 Pd2'
_cell_length_a 4.332
_cell_length_b 4.332
_cell_length_c 8.231
_cell_angle_alpha 90.00
_cell_angle_beta 90.00
_cell_angle_gamma 120.00
_symmetry_space_group_name_H-M 'P 1'
_symmetry_Int_Tables_number 1
loop_
_symmetry_equiv_pos_as_xyz
'x,y,z'
loop_
_atom_site_label
_atom_site_type_symbol
_atom_site_fract_x
_atom_site_fract_y
_atom_site_fract_z
P1 P 0.667 0.333 0.500
Ge1 Ge 0.000 0.000 0.000
La1 La 0.333 0.667 0.258
Pd1 Pd 0.667 0.333 0.000
La2 La 0.333 0.667 0.742
Pd2 Pd 0.000 0.000 0.500
```

***

Below is LaGePd3 after structural relaxation, with properties calculated at the PBE level.

- symmetry = Cmcm (63)
- final energy (eV for the cell shown) = -58.14
- crystal system = orthorhombic

CIF file:
```
data_LaGePd3
_chemical_formula_sum 'La2 Ge2 Pd6'
_cell_length_a 6.130
_cell_length_b 5.927
_cell_length_c 6.131
_cell_angle_alpha 90.00
_cell_angle_beta 117.54
_cell_angle_gamma 90.00
_symmetry_space_group_name_H-M 'P 1'
_symmetry_Int_Tables_number 1
loop_
_symmetry_equiv_pos_as_xyz
'x,y,z'
loop_
_atom_site_label
_atom_site_type_symbol
_atom_site_fract_x
_atom_site_fract_y
_atom_site_fract_z
Pd1 Pd 0.319 0.750 0.181
Pd2 Pd 0.281 0.000 0.781
La1 La 0.243 0.250 0.257
La2 La 0.757 0.750 0.743
Pd3 Pd 0.719 0.000 0.219
Ge1 Ge 0.088 0.750 0.412
Pd4 Pd 0.281 0.500 0.781
Pd5 Pd 0.681 0.250 0.819
Ge2 Ge 0.912 0.250 0.588
Pd6 Pd 0.719 0.500 0.219
```

***

Below is La2Ge5Pd3 after structural relaxation, with properties calculated at the PBE level.

- symmetry = Ibam (72)
- final energy (eV for the cell shown) = -113.08
- crystal system = orthorhombic

CIF file:
```
data_La2Ge5Pd3
_chemical_formula_sum 'La4 Ge10 Pd6'
_cell_length_a 8.618
_cell_length_b 8.618
_cell_length_c 8.618
_cell_angle_alpha 106.62
_cell_angle_beta 88.78
_cell_angle_gamma 137.32
_symmetry_space_group_name_H-M 'P 1'
_symmetry_Int_Tables_number 1
loop_
_symmetry_equiv_pos_as_xyz
'x,y,z'
loop_
_atom_site_label
_atom_site_type_symbol
_atom_site_fract_x
_atom_site_fract_y
_atom_site_fract_z
Ge1 Ge 0.892 0.653 0.545
Pd1 Pd 0.750 0.250 0.500
Pd2 Pd 0.861 0.890 0.752
Ge2 Ge 0.608 0.153 0.760
Pd3 Pd 0.250 0.750 0.500
Pd4 Pd 0.361 0.610 0.971
Ge3 Ge 0.477 0.750 0.727
Ge4 Ge 0.108 0.347 0.455
Ge5 Ge 0.750 0.750 0.000
Pd5 Pd 0.639 0.390 0.029
La1 La 0.871 0.234 0.105
Ge6 Ge 0.023 0.750 0.273
Pd6 Pd 0.139 0.110 0.248
La2 La 0.371 0.266 0.637
Ge7 Ge 0.392 0.847 0.240
La3 La 0.629 0.734 0.363
Ge8 Ge 0.977 0.250 0.727
La4 La 0.129 0.766 0.895
Ge9 Ge 0.523 0.250 0.273
Ge10 Ge 0.250 0.250 0.000
```

***

Below is LaGePd2 after structural relaxation, with properties calculated at the PBE level.

- symmetry = Pnma (62)
- final energy (eV for the cell shown) = -93.92
- crystal system = orthorhombic

CIF file:
```
data_LaGePd2
_chemical_formula_sum 'La4 Ge4 Pd8'
_cell_length_a 7.797
_cell_length_b 7.074
_cell_length_c 5.855
_cell_angle_alpha 90.00
_cell_angle_beta 90.00
_cell_angle_gamma 90.00
_symmetry_space_group_name_H-M 'P 1'
_symmetry_Int_Tables_number 1
loop_
_symmetry_equiv_pos_as_xyz
'x,y,z'
loop_
_atom_site_label
_atom_site_type_symbol
_atom_site_fract_x
_atom_site_fract_y
_atom_site_fract_z
Ge1 Ge 0.623 0.250 0.847
Pd1 Pd 0.324 0.051 0.911
Ge2 Ge 0.123 0.250 0.653
Pd2 Pd 0.824 0.051 0.589
La1 La 0.968 0.250 0.152
Ge3 Ge 0.377 0.750 0.153
Pd3 Pd 0.676 0.949 0.089
La2 La 0.532 0.750 0.652
Ge4 Ge 0.877 0.750 0.347
Pd4 Pd 0.176 0.949 0.411
Pd5 Pd 0.824 0.449 0.589
La3 La 0.468 0.250 0.348
Pd6 Pd 0.176 0.551 0.411
La4 La 0.032 0.750 0.848
Pd7 Pd 0.676 0.551 0.089
Pd8 Pd 0.324 0.449 0.911
```

***

Below is La3Ge4Pd2 after structural relaxation, with properties calculated at the PBE level.

- symmetry = C2/m (12)
- final energy (eV for the cell shown) = -51.89
- crystal system = monoclinic

CIF file:
```
data_La3Ge4Pd2
_chemical_formula_sum 'La3 Ge4 Pd2'
_cell_length_a 6.119
_cell_length_b 6.119
_cell_length_c 8.613
_cell_angle_alpha 101.49
_cell_angle_beta 101.49
_cell_angle_gamma 41.92
_symmetry_space_group_name_H-M 'P 1'
_symmetry_Int_Tables_number 1
loop_
_symmetry_equiv_pos_as_xyz
'x,y,z'
loop_
_atom_site_label
_atom_site_type_symbol
_atom_site_fract_x
_atom_site_fract_y
_atom_site_fract_z
La1 La 0.334 0.334 0.337
Pd1 Pd 0.395 0.395 0.723
Pd2 Pd 0.605 0.605 0.277
La2 La 0.000 0.000 0.000
Ge1 Ge 0.947 0.947 0.614
Ge2 Ge 0.727 0.727 0.068
La3 La 0.666 0.666 0.663
Ge3 Ge 0.053 0.053 0.386
Ge4 Ge 0.273 0.273 0.932
```

***

Below is La2Ge3Pd after structural relaxation, with properties calculated at the PBE level.

- symmetry = Fmmm (69)
- final energy (eV for the cell shown) = -68.59
- crystal system = orthorhombic

CIF file:
```
data_La2Ge3Pd
_chemical_formula_sum 'La4 Ge6 Pd2'
_cell_length_a 8.649
_cell_length_b 8.639
_cell_length_c 6.126
_cell_angle_alpha 69.33
_cell_angle_beta 69.16
_cell_angle_gamma 41.51
_symmetry_space_group_name_H-M 'P 1'
_symmetry_Int_Tables_number 1
loop_
_symmetry_equiv_pos_as_xyz
'x,y,z'
loop_
_atom_site_label
_atom_site_type_symbol
_atom_site_fract_x
_atom_site_fract_y
_atom_site_fract_z
La1 La 0.747 0.253 0.747
Pd1 Pd 0.833 0.833 0.167
La2 La 0.750 0.750 0.750
Ge1 Ge 0.332 0.836 0.668
Pd2 Pd 0.167 0.167 0.833
La3 La 0.253 0.747 0.253
Ge2 Ge 0.668 0.668 0.332
Ge3 Ge 0.164 0.668 0.836
Ge4 Ge 0.668 0.164 0.332
Ge5 Ge 0.332 0.332 0.668
Ge6 Ge 0.836 0.332 0.164
La4 La 0.250 0.250 0.250
```

***

Below is La2Ge5Pd3 after structural relaxation, with properties calculated at the PBE level.

- symmetry = Ibam (72)
- final energy (eV for the cell shown) = -113.08
- crystal system = orthorhombic

CIF file:
```
data_La2Ge5Pd3
_chemical_formula_sum 'La4 Ge10 Pd6'
_cell_length_a 8.618
_cell_length_b 8.618
_cell_length_c 8.618
_cell_angle_alpha 106.50
_cell_angle_beta 88.93
_cell_angle_gamma 137.29
_symmetry_space_group_name_H-M 'P 1'
_symmetry_Int_Tables_number 1
loop_
_symmetry_equiv_pos_as_xyz
'x,y,z'
loop_
_atom_site_label
_atom_site_type_symbol
_atom_site_fract_x
_atom_site_fract_y
_atom_site_fract_z
Ge1 Ge 0.978 0.750 0.228
Ge2 Ge 0.022 0.250 0.772
Ge3 Ge 0.893 0.848 0.740
Ge4 Ge 0.522 0.750 0.772
La1 La 0.871 0.267 0.138
La2 La 0.129 0.733 0.862
Pd1 Pd 0.139 0.389 0.528
Ge5 Ge 0.250 0.750 0.500
Ge6 Ge 0.478 0.250 0.228
Pd2 Pd 0.750 0.750 0.000
Ge7 Ge 0.607 0.348 0.955
Pd3 Pd 0.639 0.111 0.749
Ge8 Ge 0.107 0.152 0.260
Pd4 Pd 0.361 0.889 0.251
Pd5 Pd 0.250 0.250 0.000
La3 La 0.629 0.767 0.396
Pd6 Pd 0.861 0.611 0.472
La4 La 0.371 0.233 0.604
Ge9 Ge 0.393 0.652 0.045
Ge10 Ge 0.750 0.250 0.500
```